Material: NaMo2IrO8
Method: DFT, GGA+U
State: relaxed

Unit cell a=5.7902 b=5.7902 c=6.4636 alpha=90.00 beta=90.00 gamma=120.00
Space group P-3m1 (No. 164)
Asymmetric unit:
Na: 0.0000 0.0000 0.0000 x1
Mo: 0.3333 0.6667 0.2309 x2
Ir: 0.0000 0.0000 0.5000 x1
O: 0.1595 0.3190 0.3129 x6
O: 0.3333 0.6667 0.9606 x2

Calculated values
- energy (eV per atom) = -6.73